# 1
K2RbMgPb | PBE | relaxed

extended XYZ file:
```
5
Lattice="7.012 0.000 0.000 0.000 7.012 0.000 0.000 0.000 5.643" Properties=species:S:1:pos:R:3 pbc="T T T"
Pb 0.000 0.000 0.000
K 0.000 3.506 0.000
K 3.506 0.000 0.000
Mg 0.000 0.000 2.821
Rb 3.506 3.506 2.821
```

The formation energy is 0.038 eV per atom.



# 2
KMgSbPb | PBE | relaxed

extended XYZ file:
```
4
Lattice="-1.400 2.749 -2.547 -3.707 -1.416 0.510 -1.081 4.976 5.967" Properties=species:S:1:pos:R:3 pbc="T T T"
K -3.283 6.182 4.418
Mg -2.697 3.494 1.191
Sb -3.683 0.633 1.791
Pb -4.092 2.516 4.047
```

The calculation puts the uncorrected formation energy at -0.226 eV/atom.



# 3
KMgSn2Pb | PBE | relaxed

extended XYZ file:
```
5
Lattice="5.032 0.000 0.000 0.000 5.032 0.000 -2.516 -2.516 6.520" Properties=species:S:1:pos:R:3 pbc="T T T"
K 0.000 0.000 0.000
Mg 0.000 2.516 3.260
Sn 2.516 2.516 1.480
Sn 0.000 0.000 5.040
Pb 2.516 0.000 3.260
```

The formation energy is -0.136 eV per atom.



# 4
KMg2SnPb2 | PBE | relaxed

extended XYZ file:
```
12
Lattice="4.494 0.000 0.000 0.000 9.805 0.000 0.000 0.000 8.576" Properties=species:S:1:pos:R:3 pbc="T T T"
K 2.247 4.902 0.000
K 0.000 0.000 4.288
Mg 2.247 1.518 1.487
Mg 0.000 6.420 2.801
Mg 2.247 8.287 7.088
Mg 0.000 3.385 5.775
Sn 0.000 0.000 0.000
Sn 2.247 4.902 4.288
Pb 2.247 8.215 1.688
Pb 2.247 1.590 6.888
Pb 0.000 6.492 5.976
Pb 0.000 3.312 2.600
```

The formation energy is -0.029 eV per atom.